Record 1
First-principles (PBE) data for crystalline BeCd2Cl at its relaxed geometry, as listed in Alexandria.

a b c (Å): 3.1789 3.3977 8.4422
angles (deg): 79.61 90.00 90.00
Sites, in units of the cell vectors:
Be  0.5000  0.6914  0.5087
Cl  0.0000  0.6205  0.6584
Cd  0.0000  0.8978  0.0476
Cd  0.5000  0.2903  0.2853

Computed properties:
Space-group type = Pm, No. 6
Distance to the lowest polymorph of the same formula = 0.000 eV per atom

---

Record 2
First-principles (PBE) data for crystalline SbMoSe2 at its relaxed geometry, as listed in Alexandria.

a b c (Å): 4.9292 4.9292 4.9249
angles (deg): 69.69 69.69 107.86
Site moments in Bohr magnetons follow the coordinates.
Sites, in units of the cell vectors:
Mo  0.5000  0.0000  0.5000  2.62
Sb  0.0000  0.5000  0.5000  -0.06
Se  0.0000  0.0000  0.0000  0.02
Se  0.5000  0.5000  0.0000  0.02

Computed properties:
Space-group type = I4/mmm, No. 139

---

In eV per atom, the formation energy without anion corrections values for the records above are, in order, -0.185 0.386.
In eV/cell, the VASP energy values for the records above are, in order, -8.1 -20.4.